# CaRe2Ru

CaRe2Ru after structural relaxation (PBE, Alexandria via LeMat-Bulk).

Its crystal system is cubic. As for the total energy: -8.55 eV/atom. The polymorph energy (0 for the lowest one) comes out at 93 meV per atom. The density of states at the Fermi level is 6.2 states/eV per cell. Its theoretical density is 13159 kg/m³. The value obtained for the calculated formation energy is 0.491 eV/atom.

The space group is F-43m (No. 216) and the conventional cell measures 6.3762, 6.3762 and 6.3762 Å, with angles of 90.00, 90.00 and 90.00 degrees. The asymmetric unit holds Ca at (0.0000, 0.0000, 0.0000), Re at (0.0000, 0.0000, 0.5000), Re at (0.2500, 0.2500, 0.2500) and Ru at (0.2500, 0.2500, 0.7500).